(1)
Ho4Hf3As4: relaxed, GGA-PBE.

Computed properties:
Electronic total energy   -6.74 eV/atom
Size of the total moment   0.57 Bohr magnetons per cell
ρ   9.862 g cm⁻³

```
data_Ho4Hf3As4
_chemical_formula_sum 'Ho4 Hf3 As4'
_symmetry_space_group_name_H-M 'P 1 m 1'
_symmetry_Int_Tables_number 6
_symmetry_space_group_name_Hall 'P -2y'
_cell_length_a 7.405
_cell_length_b 3.849
_cell_length_c 8.921
_cell_angle_alpha 90.00
_cell_angle_beta 98.17
_cell_angle_gamma 90.00
loop_
_atom_site_label
_atom_site_type_symbol
_atom_site_fract_x
_atom_site_fract_y
_atom_site_fract_z
Ho1 Ho 0.000 0.000 0.000
Ho2 Ho 0.069 0.500 0.447
Ho3 Ho 0.444 0.000 0.595
Ho4 Ho 0.745 0.500 0.148
Hf1 Hf 0.316 0.500 0.875
Hf2 Hf 0.444 0.000 0.225
Hf3 Hf 0.784 0.500 0.750
As1 As 0.077 0.000 0.700
As2 As 0.203 0.500 0.160
As3 As 0.594 0.000 0.919
As4 As 0.650 0.500 0.440
```

=====

(2)
HoHfAs: relaxed, GGA-PBE.

Computed properties:
Electronic total energy   -6.81 eV/atom
Size of the total moment   1.92 Bohr magnetons per cell
Distance to the lowest polymorph of the same formula   0.000 eV/atom
ρ   9.944 g cm⁻³

```
data_HoHfAs
_chemical_formula_sum 'Ho4 Hf4 As4'
_symmetry_space_group_name_H-M 'F -4 3 m'
_symmetry_Int_Tables_number 216
_symmetry_space_group_name_Hall 'F -4 2 3'
_cell_length_a 6.538
_cell_length_b 6.538
_cell_length_c 6.538
_cell_angle_alpha 90.00
_cell_angle_beta 90.00
_cell_angle_gamma 90.00
loop_
_atom_site_label
_atom_site_type_symbol
_atom_site_fract_x
_atom_site_fract_y
_atom_site_fract_z
Ho1 Ho 0.000 0.000 0.000
Hf1 Hf 0.000 0.000 0.500
As1 As 0.250 0.250 0.750
```

=====

(3)
Ho2HfAs3: relaxed, GGA-PBE.

Computed properties:
Electronic total energy   -6.86 eV/atom
Size of the total moment   0.00 Bohr magnetons per cell
ρ   9.011 g cm⁻³

```
data_Ho2HfAs3
_chemical_formula_sum 'Ho2 Hf1 As3'
_symmetry_space_group_name_H-M 'P -3 m 1'
_symmetry_Int_Tables_number 164
_symmetry_space_group_name_Hall '-P 3 2"'
_cell_length_a 3.9866
_cell_length_b 3.9866
_cell_length_c 9.8157
_cell_angle_alpha 90.00
_cell_angle_beta 90.00
_cell_angle_gamma 120.00
loop_
_atom_site_label
_atom_site_type_symbol
_atom_site_fract_x
_atom_site_fract_y
_atom_site_fract_z
Ho1 Ho 0.3333 0.6667 0.3285
Hf1 Hf 0.0000 0.0000 0.0000
As1 As 0.0000 0.0000 0.5000
As2 As 0.3333 0.6667 0.8452
```